14
Lattice="0.000 5.498 5.498 5.498 0.000 5.498 5.498 5.498 0.000" Properties=species:S:1:pos:R:3 comment="Cr2CuTe4, optimized geometry, DFT GGA-PBEsol" magmom_total_mub_per_fu=5.31 crystal_system=cubic space_group="No. 227" formation_energy_uncorrected_ev_per_atom=-0.1506 pbc="T T T"
Cr 0.000 0.000 0.000
Cr 2.749 2.749 0.000
Cr 2.749 0.000 2.749
Cr 0.000 2.749 2.749
Cu 4.123 4.123 4.123
Cu 6.872 6.872 6.872
Te 8.321 5.423 5.423
Te 2.674 2.674 2.674
Te 5.572 5.572 2.674
Te 5.572 2.674 5.572
Te 5.423 8.321 5.423
Te 5.423 5.423 8.321
Te 8.321 8.321 8.321
Te 2.674 5.572 5.572